{"formula": "Y5Zn4Ga", "functional": "PBE-GGA", "state": "relaxed", "space_group": "No. 123", "ef_ev_per_fu": -4.13, "lattice_angstrom": [[3.579, 0.000, 0.000], [0.000, 3.579, 0.000], [0.000, 0.000, 17.930]], "species": ["Y", "Y", "Y", "Y", "Y", "Zn", "Zn", "Zn", "Zn", "Ga"], "frac_coords": [[0.500, 0.500, 0.700], [0.500, 0.500, 0.300], [0.500, 0.500, 0.101], [0.500, 0.500, 0.899], [0.500, 0.500, 0.500], [0.000, 0.000, 0.798], [0.000, 0.000, 0.202], [0.000, 0.000, 0.601], [0.000, 0.000, 0.399], [0.000, 0.000, 0.000]]}



{"formula": "Y3ZnGa", "functional": "PBE-GGA", "state": "relaxed", "space_group": "No. 221", "relative_energy_mev_per_atom": 553.3, "ef_ev_per_fu": 0.78, "lattice_angstrom": [[5.441, 0.000, 0.000], [0.000, 5.441, 0.000], [0.000, 0.000, 5.441]], "species": ["Ga", "Y", "Y", "Y", "Zn"], "frac_coords": [[0.000, 0.000, 0.000], [0.000, 0.500, 0.000], [0.500, 0.000, 0.000], [0.000, 0.000, 0.500], [0.500, 0.500, 0.500]]}



{"formula": "YZn12Ga6", "functional": "PBE-GGA", "state": "relaxed", "space_group": "No. 166", "ef_ev_per_fu": 0.86, "lattice_angstrom": [[7.239, 0.076, 0.107], [-1.721, 7.032, 0.107], [-1.721, -2.217, 6.674]], "species": ["Zn", "Zn", "Zn", "Zn", "Zn", "Zn", "Zn", "Zn", "Zn", "Zn", "Zn", "Zn", "Ga", "Ga", "Ga", "Ga", "Ga", "Ga", "Y"], "frac_coords": [[0.500, 0.892, 0.108], [0.892, 0.108, 0.500], [0.363, 0.125, 0.363], [0.108, 0.500, 0.892], [0.637, 0.637, 0.875], [0.108, 0.892, 0.500], [0.363, 0.363, 0.125], [0.875, 0.637, 0.637], [0.637, 0.875, 0.637], [0.125, 0.363, 0.363], [0.892, 0.500, 0.108], [0.500, 0.108, 0.892], [0.298, 0.710, 0.298], [0.702, 0.702, 0.290], [0.290, 0.702, 0.702], [0.702, 0.290, 0.702], [0.298, 0.298, 0.710], [0.710, 0.298, 0.298], [0.000, 0.000, 0.000]]}



{"formula": "YZnGa", "functional": "PBE-GGA", "state": "relaxed", "space_group": "No. 44", "ef_ev_per_fu": -1.71, "lattice_angstrom": [[5.700, 0.010, -0.005], [-1.715, 4.068, 0.002], [1.121, -1.923, 5.248]], "species": ["Zn", "Zn", "Y", "Y", "Ga", "Ga"], "frac_coords": [[0.268, 0.235, 0.565], [0.836, 0.235, 0.997], [0.702, 0.886, 0.432], [0.237, 0.921, 0.966], [0.650, 0.568, 0.846], [0.117, 0.568, 0.380]]}



{"formula": "Y2Zn5Ga3", "functional": "PBE-GGA", "state": "relaxed", "space_group": "No. 72", "relative_energy_mev_per_atom": 0.0, "ef_ev_per_fu": -4.19, "lattice_angstrom": [[-1.869, 5.573, -0.270], [-5.145, 1.695, 6.481], [4.867, 4.970, 4.791]], "species": ["Zn", "Zn", "Zn", "Zn", "Zn", "Zn", "Zn", "Zn", "Zn", "Zn", "Ga", "Ga", "Ga", "Ga", "Ga", "Ga", "Y", "Y", "Y", "Y"], "frac_coords": [[0.250, 0.500, 0.500], [0.128, 0.006, 0.739], [0.496, 0.254, 0.254], [0.872, 0.994, 0.261], [0.372, 0.261, 0.994], [0.004, 0.746, 0.746], [0.750, 0.500, 0.500], [0.628, 0.739, 0.006], [0.996, 0.254, 0.254], [0.504, 0.746, 0.746], [0.125, 0.234, 0.516], [0.750, 0.000, 0.000], [0.250, 0.000, 0.000], [0.875, 0.766, 0.484], [0.375, 0.484, 0.766], [0.625, 0.516, 0.234], [0.876, 0.372, 0.877], [0.376, 0.877, 0.372], [0.624, 0.123, 0.628], [0.124, 0.628, 0.123]]}



{"formula": "Y6ZnGa2", "functional": "PBE-GGA", "state": "relaxed", "space_group": "No. 71", "relative_energy_mev_per_atom": 0.0, "ef_ev_per_fu": -3.45, "lattice_angstrom": [[8.041, -0.016, -3.024], [-4.222, 7.095, -2.374], [-0.174, 0.016, 8.589]], "species": ["Y", "Y", "Y", "Y", "Y", "Y", "Y", "Y", "Y", "Y", "Y", "Y", "Zn", "Zn", "Ga", "Ga", "Ga", "Ga"], "frac_coords": [[0.195, 0.245, 0.440], [0.551, 0.729, 0.822], [0.805, 0.245, 0.050], [0.907, 0.729, 0.178], [0.296, 0.972, 0.677], [0.093, 0.271, 0.822], [0.296, 0.619, 0.323], [0.805, 0.755, 0.560], [0.195, 0.755, 0.950], [0.704, 0.028, 0.323], [0.704, 0.381, 0.677], [0.449, 0.271, 0.178], [0.000, 0.500, 0.500], [0.000, 0.000, 0.000], [0.351, 0.000, 0.351], [0.500, 0.622, 0.122], [0.500, 0.378, 0.878], [0.649, 0.000, 0.649]]}



{"formula": "YZn4Ga3", "functional": "PBE-GGA", "state": "relaxed", "space_group": "No. 123", "ef_ev_per_fu": -1.96, "lattice_angstrom": [[-3.137, 0.151, -2.829], [0.751, -4.026, -1.047], [-5.277, -2.472, 5.719]], "species": ["Y", "Zn", "Zn", "Zn", "Zn", "Ga", "Ga", "Ga"], "frac_coords": [[0.000, 0.000, 0.500], [0.500, 0.000, 0.819], [0.000, 0.500, 0.181], [0.500, 0.000, 0.181], [0.000, 0.500, 0.819], [0.500, 0.500, 0.647], [0.000, 0.000, 0.000], [0.500, 0.500, 0.353]]}



{"formula": "YZn3Ga", "functional": "PBE-GGA", "state": "relaxed", "space_group": "No. 221", "relative_energy_mev_per_atom": 1261.1, "ef_ev_per_fu": 4.38, "lattice_angstrom": [[5.586, 0.000, 0.000], [0.000, 5.586, 0.000], [0.000, 0.000, 5.586]], "species": ["Zn", "Zn", "Zn", "Y", "Ga"], "frac_coords": [[0.000, 0.000, 0.500], [0.000, 0.500, 0.000], [0.500, 0.000, 0.000], [0.000, 0.000, 0.000], [0.500, 0.500, 0.500]]}



{"formula": "YZn6Ga2", "functional": "PBE-GGA", "state": "relaxed", "space_group": "No. 123", "ef_ev_per_fu": -1.92, "lattice_angstrom": [[-1.347, 3.505, 1.640], [-2.688, 0.402, -3.066], [-6.153, -4.607, 4.792]], "species": ["Zn", "Zn", "Zn", "Zn", "Zn", "Zn", "Y", "Ga", "Ga"], "frac_coords": [[0.500, 0.000, 0.301], [0.000, 0.500, 0.699], [0.500, 0.500, 0.500], [0.500, 0.000, 0.699], [0.000, 0.500, 0.301], [0.000, 0.000, 0.500], [0.000, 0.000, 0.000], [0.500, 0.500, 0.866], [0.500, 0.500, 0.134]]}



{"formula": "YZn2Ga2", "functional": "PBE-GGA", "state": "relaxed", "space_group": "No. 129", "ef_ev_per_fu": -2.16, "lattice_angstrom": [[4.167, 0.000, 0.000], [0.000, 4.167, 0.000], [0.000, 0.000, 10.638]], "species": ["Zn", "Zn", "Zn", "Zn", "Ga", "Ga", "Ga", "Ga", "Y", "Y"], "frac_coords": [[0.500, 0.000, 0.639], [0.000, 0.000, 0.000], [0.500, 0.500, 0.000], [0.000, 0.500, 0.361], [0.500, 0.500, 0.500], [0.500, 0.000, 0.863], [0.000, 0.000, 0.500], [0.000, 0.500, 0.137], [0.000, 0.500, 0.751], [0.500, 0.000, 0.249]]}



{"formula": "Y3ZnGa2", "functional": "PBE-GGA", "state": "relaxed", "space_group": "No. 164", "relative_energy_mev_per_atom": 0.0, "ef_ev_per_fu": -3.25, "lattice_angstrom": [[-2.581, -2.004, 3.869], [5.025, 0.545, 0.320], [-1.532, 11.283, 4.822]], "species": ["Zn", "Zn", "Y", "Y", "Y", "Y", "Y", "Y", "Ga", "Ga", "Ga", "Ga"], "frac_coords": [[0.333, 0.667, 0.668], [0.667, 0.333, 0.332], [0.333, 0.667, 0.917], [0.667, 0.333, 0.083], [0.333, 0.667, 0.418], [0.000, 0.000, 0.750], [0.000, 0.000, 0.250], [0.667, 0.333, 0.582], [0.000, 0.000, 0.500], [0.333, 0.667, 0.172], [0.000, 0.000, 0.000], [0.667, 0.333, 0.828]]}



{"formula": "YZnGa", "functional": "PBE-GGA", "state": "relaxed", "space_group": "No. 129", "ef_ev_per_fu": -1.31, "lattice_angstrom": [[-1.812, 1.994, 3.212], [0.142, -3.524, 2.268], [6.442, 1.856, 2.482]], "species": ["Ga", "Ga", "Zn", "Zn", "Y", "Y"], "frac_coords": [[0.500, 0.500, 0.500], [0.000, 0.000, 0.500], [0.000, 0.500, 0.739], [0.500, 0.000, 0.261], [0.500, 0.000, 0.826], [0.000, 0.500, 0.174]]}



{"formula": "YZnGa", "functional": "PBE-GGA", "state": "relaxed", "space_group": "No. 107", "ef_ev_per_fu": -0.95, "lattice_angstrom": [[3.355, 0.000, 0.000], [0.000, 3.355, 0.000], [-1.678, -1.678, 5.476]], "species": ["Zn", "Ga", "Y"], "frac_coords": [[0.968, 0.968, 0.937], [0.597, 0.597, 0.193], [0.285, 0.285, 0.570]]}



{"formula": "YZnGa4", "functional": "PBE-GGA", "state": "relaxed", "space_group": "No. 216", "relative_energy_mev_per_atom": 83.2, "ef_ev_per_fu": -1.12, "lattice_angstrom": [[5.490, 0.000, 0.000], [2.745, 4.754, 0.000], [2.745, 1.585, 4.482]], "species": ["Ga", "Ga", "Ga", "Ga", "Y", "Zn"], "frac_coords": [[0.125, 0.625, 0.625], [0.625, 0.625, 0.625], [0.625, 0.125, 0.625], [0.625, 0.625, 0.125], [0.250, 0.250, 0.250], [0.000, 0.000, 0.000]]}



{"formula": "Y3Zn6Ga5", "functional": "PBE-GGA", "state": "relaxed", "space_group": "No. 59", "ef_ev_per_fu": -6.28, "lattice_angstrom": [[-0.045, 0.730, -4.174], [4.138, -8.633, -1.554], [-11.315, -5.279, -0.803]], "species": ["Zn", "Zn", "Zn", "Zn", "Zn", "Zn", "Zn", "Zn", "Zn", "Zn", "Zn", "Zn", "Ga", "Ga", "Ga", "Ga", "Ga", "Ga", "Ga", "Ga", "Ga", "Ga", "Y", "Y", "Y", "Y", "Y", "Y"], "frac_coords": [[0.500, 0.021, 0.647], [0.500, 0.544, 0.000], [0.500, 0.383, 0.838], [0.500, 0.961, 0.000], [0.000, 0.617, 0.662], [0.000, 0.039, 0.500], [0.000, 0.979, 0.147], [0.000, 0.979, 0.853], [0.000, 0.456, 0.500], [0.500, 0.021, 0.353], [0.500, 0.383, 0.162], [0.000, 0.617, 0.338], [0.000, 0.527, 0.861], [0.500, 0.127, 0.842], [0.000, 0.527, 0.139], [0.000, 0.873, 0.342], [0.500, 0.127, 0.158], [0.500, 0.234, 0.500], [0.500, 0.473, 0.361], [0.000, 0.873, 0.658], [0.500, 0.473, 0.639], [0.000, 0.766, 0.000], [0.500, 0.752, 0.188], [0.000, 0.252, 0.000], [0.500, 0.752, 0.812], [0.500, 0.748, 0.500], [0.000, 0.248, 0.312], [0.000, 0.248, 0.688]]}



{"formula": "Y2Zn5Ga3", "functional": "PBE-GGA", "state": "relaxed", "space_group": "No. 115", "relative_energy_mev_per_atom": 32.2, "ef_ev_per_fu": -3.86, "lattice_angstrom": [[4.160, 0.000, 0.000], [0.000, 4.160, 0.000], [0.000, 0.000, 10.673]], "species": ["Ga", "Ga", "Ga", "Zn", "Zn", "Zn", "Zn", "Zn", "Y", "Y"], "frac_coords": [[0.000, 0.000, 0.500], [0.000, 0.500, 0.357], [0.500, 0.000, 0.643], [0.500, 0.500, 0.500], [0.000, 0.500, 0.132], [0.000, 0.000, 0.000], [0.500, 0.500, 0.000], [0.500, 0.000, 0.868], [0.000, 0.500, 0.750], [0.500, 0.000, 0.250]]}



{"formula": "Y3ZnGa", "functional": "PBE-GGA", "state": "relaxed", "space_group": "No. 63", "relative_energy_mev_per_atom": 0.0, "ef_ev_per_fu": -1.98, "lattice_angstrom": [[4.912, 0.000, 1.123], [0.000, 5.034, 0.000], [0.244, 0.000, 10.240]], "species": ["Zn", "Zn", "Y", "Y", "Y", "Y", "Y", "Y", "Ga", "Ga"], "frac_coords": [[0.665, 0.750, 0.318], [0.983, 0.250, 0.682], [0.254, 0.750, 0.140], [0.575, 0.250, 0.499], [0.755, 0.250, 0.138], [0.893, 0.750, 0.862], [0.074, 0.750, 0.501], [0.394, 0.250, 0.860], [0.163, 0.250, 0.322], [0.485, 0.750, 0.678]]}



{"formula": "Y4Zn3Ga", "functional": "PBE-GGA", "state": "relaxed", "space_group": "No. 166", "ef_ev_per_fu": -3.45, "lattice_angstrom": [[-3.391, 0.267, 3.746], [1.177, -1.732, 4.607], [2.144, 6.992, 4.860]], "species": ["Y", "Y", "Y", "Y", "Zn", "Zn", "Zn", "Ga"], "frac_coords": [[0.625, 0.625, 0.125], [0.125, 0.125, 0.625], [0.375, 0.375, 0.875], [0.875, 0.875, 0.375], [0.248, 0.248, 0.257], [0.752, 0.752, 0.743], [0.500, 0.500, 0.500], [0.000, 0.000, 0.000]]}



{"formula": "YZn2Ga2", "functional": "PBE-GGA", "state": "relaxed", "space_group": "No. 127", "ef_ev_per_fu": -1.03, "lattice_angstrom": [[-4.062, -4.501, -4.671], [-0.822, -5.109, 5.639], [-2.738, 1.487, 0.948]], "species": ["Zn", "Zn", "Zn", "Zn", "Ga", "Ga", "Ga", "Ga", "Y", "Y"], "frac_coords": [[0.119, 0.381, 0.000], [0.619, 0.119, 0.000], [0.381, 0.881, 0.000], [0.881, 0.619, 0.000], [0.321, 0.179, 0.500], [0.179, 0.679, 0.500], [0.821, 0.321, 0.500], [0.679, 0.821, 0.500], [0.500, 0.500, 0.000], [0.000, 0.000, 0.000]]}



{"formula": "Y4ZnGa", "functional": "PBE-GGA", "state": "relaxed", "space_group": "No. 15", "ef_ev_per_fu": -1.55, "lattice_angstrom": [[-5.610, -0.008, 2.768], [2.742, -7.252, 1.856], [4.209, 6.121, 3.320]], "species": ["Y", "Y", "Y", "Y", "Y", "Y", "Y", "Y", "Zn", "Zn", "Ga", "Ga"], "frac_coords": [[0.347, 0.944, 0.632], [0.653, 0.056, 0.368], [0.980, 0.766, 0.136], [0.344, 0.631, 0.864], [0.656, 0.369, 0.136], [0.215, 0.311, 0.368], [0.020, 0.234, 0.864], [0.785, 0.689, 0.632], [0.751, 0.001, 0.002], [0.249, 0.999, 0.998], [0.383, 0.633, 0.266], [0.617, 0.367, 0.734]]}